Entry 1:
Here is an optimized crystal structure of CaCeTe2 from Alexandria. Energies are from PBE.

Geometry as POSCAR:
```
CaCeTe2
1.0
-2.877 -0.295 -3.407
1.522 -0.438 -4.179
-0.564 -7.705 -1.787
Te Ca Ce
2 1 1
Direct
0.752 0.752 0.744
0.248 0.248 0.256
0.500 0.500 0.500
0.000 0.000 0.000
```

## Properties
Calculated density: 5.58 Mg/m³
Final energy: -5.0174 eV per atom

---

Entry 2:
Here is an optimized crystal structure of Zn3BiOs from Alexandria. Energies are from PBE.

Geometry as POSCAR:
```
Zn3BiOs
1.0
4.829 0.000 0.000
0.000 4.829 0.000
0.000 0.000 4.829
Zn Bi Os
3 1 1
Direct
0.000 0.000 0.500
0.500 0.000 0.000
0.000 0.500 0.000
0.500 0.500 0.500
0.000 0.000 0.000
```

## Properties
E_form: 307 kJ/mol of formula units
Calculated density: 8.78 Mg/m³
Final energy: -3.1506 eV per atom

---

Entry 3:
Here is an optimized crystal structure of InSICl2 from Alexandria. Energies are from PBE.

Geometry as POSCAR:
```
InSICl2
1.0
-1.134 4.472 -1.814
-3.443 -2.055 -2.916
-3.896 0.683 4.120
I S Cl In
1 1 2 1
Direct
0.500 0.500 0.500
0.000 0.000 0.500
0.000 0.500 0.000
0.500 0.000 0.000
0.000 0.000 0.000
```

## Properties
Calculated density: 4.08 Mg/m³
Final energy: -2.5772 eV per atom

---

Entry 4:
Here is an optimized crystal structure of LiVBr3 from Alexandria. Energies are from PBE.

Geometry as POSCAR:
```
LiVBr3
1.0
5.222 0.000 0.000
0.000 5.222 0.000
0.000 0.000 5.222
Br V Li
3 1 1
Direct
0.500 0.000 0.000
0.000 0.500 0.000
0.000 0.000 0.500
0.000 0.000 0.000
0.500 0.500 0.500
```

## Properties
Calculated density: 3.47 Mg/m³
Final energy: -3.9766 eV per atom

---

Entry 5:
Here is an optimized crystal structure of Sr3HoPa2As6 from Alexandria. Energies are from PBE.

Geometry as POSCAR:
```
Sr3HoPa2As6
1.0
7.351 0.000 0.001
-3.674 6.367 0.001
-1.226 -2.122 7.124
Sr Ho As Pa
3 1 6 2
Direct
0.165 0.835 0.500
0.500 0.500 0.500
0.835 0.165 0.500
0.000 0.000 0.000
0.267 0.267 0.782
0.927 0.587 0.782
0.733 0.733 0.218
0.413 0.073 0.218
0.073 0.413 0.218
0.587 0.927 0.782
0.667 0.333 0.000
0.333 0.667 0.000
```

## Properties
E_form: -1433 kJ/mol of formula units
Calculated density: 6.67 Mg/m³
Final energy: -5.9467 eV per atom

---

Entry 6:
Here is an optimized crystal structure of LiTmMgNi from Alexandria. Energies are from PBE.

Geometry as POSCAR:
```
LiTmMgNi
1.0
4.676 0.000 0.000
2.338 4.049 0.000
2.338 1.350 3.818
Mg Ni Tm Li
1 1 1 1
Direct
0.250 0.250 0.250
0.000 0.000 0.000
0.750 0.750 0.750
0.500 0.500 0.500
```

## Properties
E_form: -56 kJ/mol of formula units
Calculated density: 5.95 Mg/m³
Final energy: -3.5863 eV per atom

---

Entry 7:
Here is an optimized crystal structure of TaP2O2 from Alexandria. Energies are from PBE.

Geometry as POSCAR:
```
TaP2O2
1.0
-3.148 -1.765 -3.283
-1.011 -3.733 2.975
-2.827 2.048 1.609
P O Ta
2 2 1
Direct
0.500 0.000 0.000
0.000 0.500 0.000
0.500 0.500 0.500
0.000 0.000 0.500
0.000 0.000 0.000
```

## Properties
Calculated density: 4.99 Mg/m³
Final energy: -6.3854 eV per atom

---

Entry 8:
Here is an optimized crystal structure of LaCuSb3 from Alexandria. Energies are from PBE.

Geometry as POSCAR:
```
LaCuSb3
1.0
6.029 0.000 0.000
0.000 6.029 0.000
0.000 0.000 6.029
La Sb Cu
1 3 1
Direct
0.000 0.000 0.000
0.000 0.500 0.000
0.500 0.000 0.000
0.000 0.000 0.500
0.500 0.500 0.500
```

## Properties
Calculated density: 4.30 Mg/m³
Final energy: -3.3540 eV per atom

---

Entry 9:
Here is an optimized crystal structure of Ba2ZnInN from Alexandria. Energies are from PBE.

Geometry as POSCAR:
```
Ba2ZnInN
1.0
-0.267 5.551 -2.390
-5.994 -0.549 -0.607
-0.495 1.497 3.533
Ba Zn N In
2 1 1 1
Direct
0.000 0.500 0.000
0.500 0.000 0.000
0.000 0.000 0.500
0.000 0.000 0.000
0.500 0.500 0.500
```

## Properties
Calculated density: 5.50 Mg/m³
Final energy: -3.4786 eV per atom

---

Entry 10:
Here is an optimized crystal structure of ZnCrAs2 from Alexandria. Energies are from PBE.

Geometry as POSCAR:
```
ZnCrAs2
1.0
-1.118 1.763 4.125
-4.349 -0.299 1.540
-1.017 -2.819 3.520
Zn Cr As
1 1 2
Direct
0.750 0.750 0.750
0.500 0.500 0.500
0.250 0.250 0.250
0.000 0.000 0.000
```

## Properties
E_form: 158 kJ/mol of formula units
Calculated density: 6.35 Mg/m³
Final energy: -4.6388 eV per atom

---

Entry 11:
Here is an optimized crystal structure of CaDy4Au5 from Alexandria. Energies are from PBE.

Geometry as POSCAR:
```
CaDy4Au5
1.0
-3.038 1.624 0.995
-0.827 -2.813 2.065
8.750 7.749 14.064
Au Ca Dy
5 1 4
Direct
0.500 0.500 0.110
0.500 0.500 0.698
0.500 0.500 0.500
0.500 0.500 0.890
0.500 0.500 0.302
0.000 0.000 0.000
0.000 0.000 0.401
0.000 0.000 0.599
0.000 0.000 0.799
0.000 0.000 0.201
```

## Properties
E_form: -824 kJ/mol of formula units
Calculated density: 11.83 Mg/m³
Final energy: -4.5336 eV per atom

---

Entry 12:
Here is an optimized crystal structure of KTe3AsPd from Alexandria. Energies are from PBE.

Geometry as POSCAR:
```
KTe3AsPd
1.0
-3.578 1.631 -1.966
-3.900 -8.606 -0.044
-3.043 3.734 8.635
As Te Pd K
2 6 2 2
Direct
0.250 0.648 0.119
0.750 0.352 0.881
0.250 0.551 0.837
0.750 0.204 0.570
0.250 0.796 0.430
0.750 0.449 0.163
0.750 0.854 0.125
0.250 0.146 0.875
0.250 0.053 0.599
0.750 0.947 0.401
0.250 0.173 0.249
0.750 0.827 0.751
```

## Properties
Calculated density: 5.00 Mg/m³
Final energy: -3.7199 eV per atom